DFT (GGA-PBE) results for Cs3MgPb after structural relaxation.

abc: 7.527 7.527 7.527
angles: 90.00 90.00 90.00
Element x y z (fractional)
1 Cs 0.000 0.000 0.500
2 Cs 0.000 0.500 0.000
3 Cs 0.500 0.000 0.000
4 Mg 0.500 0.500 0.500
5 Pb 0.000 0.000 0.000

Properties
ρ	2.45	g/cm3
symmetry	Pm-3m, No. 221
energy above the lowest structure with this stoichiometry	4.81	kcal/mol of atoms
energy of formation	0.2566	eV/atom
V	85.3	Å³ per atom
total DFT energy (no corrections)	-6.6	eV for the cell shown